[1]
The following is a DFT calculation (SCAN) of a crystal of CaMg2Zn relaxed with PBEsol.

Summary:
* D(E_F): 2.44 states/eV per cell
* space group: P4/mmm (123)

POSCAR file:
```
CaMg2Zn
1.0
4.408 0.000 0.000
0.000 4.408 0.000
0.000 0.000 4.833
Ca Mg Zn
1 2 1
Direct
0.000 0.000 0.000
0.000 0.500 0.500
0.500 0.000 0.500
0.500 0.500 0.000
```

[2]
The following is a DFT calculation (SCAN) of a crystal of CaMgZn relaxed with PBEsol.

Summary:
* D(E_F): 3.45 states/eV per cell
* space group: Cmcm (63)

POSCAR file:
```
CaMgZn
1.0
2.236 -5.416 0.000
2.236 5.416 0.000
0.000 0.000 5.937
Ca Mg Zn
2 2 2
Direct
0.205 0.795 0.750
0.795 0.205 0.250
0.500 0.500 0.000
0.500 0.500 0.500
0.089 0.911 0.250
0.911 0.089 0.750
```

[3]
The following is a DFT calculation (SCAN) of a crystal of CaMg4Zn8 relaxed with PBEsol.

Summary:
* D(E_F): 4.30 states/eV per cell
* space group: I4/mmm (139)

POSCAR file:
```
CaMg4Zn8
1.0
-4.904 4.904 2.378
4.904 -4.904 2.378
4.904 4.904 -2.378
Ca Mg Zn
1 4 8
Direct
0.000 0.000 0.000
0.271 0.500 0.771
0.500 0.271 0.771
0.500 0.729 0.229
0.729 0.500 0.229
0.000 0.372 0.372
0.000 0.628 0.628
0.212 0.212 0.424
0.212 0.788 0.000
0.372 0.000 0.372
0.628 0.000 0.628
0.788 0.212 0.000
0.788 0.788 0.576
```

Which energy of formation belongs to each record? In order, -0.060; -0.228; -0.096 eV per atom.